DFT (PBE) results for ThGa2Ag after structural relaxation.

POSCAR file:
```
ThGa2Ag
1.0
4.3241 0.0000 0.0000
0.0000 11.2297 0.0000
0.0000 0.0000 14.1541
Ag Ga Th
8 16 8
Cartesian
3.2430 6.2045 13.3045
1.0810 9.3526 4.2094
1.0810 5.0252 0.8495
3.2430 3.7377 2.8676
3.2430 10.6401 6.2275
1.0810 7.4920 11.2865
1.0810 0.5897 7.9266
3.2430 1.8772 9.9446
3.2430 10.6528 8.9026
1.0810 5.2143 7.5367
3.2430 6.0154 6.6174
3.2430 8.6736 12.5051
3.2430 8.1710 5.4280
1.0810 2.8059 11.2449
1.0810 0.5769 5.2514
1.0810 0.4005 0.4596
3.2430 8.4208 9.9861
1.0810 5.0379 12.3284
3.2430 8.4238 2.9091
1.0810 2.5561 1.6490
1.0810 3.0588 8.7260
3.2430 6.1918 1.8256
1.0810 2.8089 4.1679
3.2430 10.8292 13.6944
3.2430 0.3749 2.8562
1.0810 5.9898 4.2208
1.0810 8.4615 0.6901
3.2430 2.8466 6.3870
3.2430 5.2400 9.9333
1.0810 8.3831 7.7671
1.0810 10.8549 11.2978
3.2430 2.7682 13.4640
```

* energy relative to the elements: -0.42 eV/atom

DFT (PBE) results for Ti2IBr after structural relaxation.

POSCAR file:
```
Ti2IBr
1.0
0.2208 -4.6369 1.1872
-1.0578 -1.3831 4.4640
-4.0287 -2.4477 0.8586
Br Ti I
1 2 1
Cartesian
0.0000 0.0000 0.0000
-1.2164 -2.1169 1.6274
-3.6492 -6.3508 4.8823
-2.4328 -4.2339 3.2549
```

* uncorrected formation energy: 8.6 kJ/mol of atoms

DFT (PBE) results for Ba2AlTe after structural relaxation.

POSCAR file:
```
Ba2AlTe
1.0
5.9920 0.0289 0.0000
-1.0286 5.9031 0.0000
0.0000 0.0000 4.1877
Ba Al Te
2 1 1
Cartesian
0.0000 0.0000 0.0000
2.4817 2.9660 0.0000
-0.5143 2.9516 2.0938
2.9960 0.0145 2.0938
```

* uncorrected formation energy: -67.2 kJ/mol of atoms

no.,density (g/cm3),total DFT energy (no corrections) (Ha/atom)
1,9.27,-0.165
2,6.46,-0.171
3,4.81,-0.124